Entry 1:
This record from Alexandria describes Rb5C after structural relaxation. The functional is PBE-GGA.

a b c (Å): 8.705 8.705 8.409
angles (deg): 90.00 90.00 120.00
Last column: magnetic moment on the atom in μB.
Positions (direct):
1 Rb 0.667 0.333 0.000  0.00
2 Rb 0.000 0.500 0.500  0.00
3 Rb 0.500 0.000 0.500  0.00
4 Rb 0.500 0.500 0.500  0.00
5 Rb 0.333 0.667 0.000  0.00
6 C 0.000 0.000 0.000  1.09

***

Entry 2:
This record from Alexandria describes RuAu3 after structural relaxation. The functional is PBE-GGA.

a b c (Å): 2.842 4.016 6.022
angles (deg): 90.00 90.00 90.00
Last column: magnetic moment on the atom in μB.
Positions (direct):
1 Ru 0.500 0.500 0.250  1.50
2 Au 0.000 0.000 0.012  0.06
3 Au 0.500 0.500 0.750  0.01
4 Au 0.000 0.000 0.488  0.06

***

no.,ΔE_f (eV/atom),V (Å³ per atom)
1,1.158,91.97
2,0.314,17.18